! PBE Ba2AlCu2, relaxed; values from VASP
! - Crystal system: tetragonal
! - Energy relative to the elements: 0.1359 eV per atom
! - Total moment: 0.000 μB per cell
! - Electronic total energy: -3.0202 eV per atom
&SYSTEM
  ibrav = 0, nat = 5, ntyp = 3
/
ATOMIC_SPECIES
Cu 63.55 Cu.upf
Al 26.98 Al.upf
Ba 137.33 Ba.upf
ATOMIC_POSITIONS crystal
Cu 0.7500 0.2500 0.5000
Cu 0.2500 0.7500 0.5000
Al 0.0000 0.0000 0.0000
Ba 0.6161 0.6161 0.7678
Ba 0.3839 0.3839 0.2322
CELL_PARAMETERS angstrom
3.6825 0.0000 0.0000
0.0000 3.6825 0.0000
1.8413 1.8413 10.3274